! La2Cr2O5 | the Alexandria database | GGA+U | relaxed; values from VASP
&SYSTEM
  ibrav = 0, nat = 18, ntyp = 3
/
ATOMIC_SPECIES
La 138.91 La.upf
Cr 52.00 Cr.upf
O 16.00 O.upf
ATOMIC_POSITIONS crystal
La 0.108 0.612 0.461
La 0.892 0.353 0.503
La 0.650 0.112 0.503
La 0.350 0.853 0.461
Cr 0.000 0.983 0.983
Cr 0.500 0.483 0.983
Cr 0.291 0.232 0.024
Cr 0.709 0.732 0.941
O 0.221 0.203 0.483
O 0.779 0.262 0.982
O 0.220 0.703 0.982
O 0.780 0.762 0.483
O 0.217 0.107 0.077
O 0.783 0.860 0.890
O 0.530 0.607 0.890
O 0.470 0.360 0.077
O 0.003 0.979 0.482
O 0.997 0.479 0.976
CELL_PARAMETERS angstrom
-2.768 2.789 7.890
2.768 -2.789 7.890
2.768 2.789 -7.890
! * space-group type: Ima2
! * energy: -8.033 eV per atom